! MgRe (PBE-GGA, relaxed); values from VASP
! Raw total energy ... -106.66 eV per cell
! Size of the total moment ... 0.000 μB per atom
! Distance to the lowest polymorph of the same formula ... 0.288 eV/atom
! Formation energy from the elements ... 0.7 eV/f.u.
! DOS at the Fermi energy ... 4.98 states/eV/cell
&SYSTEM
  ibrav = 0, nat = 16, ntyp = 2
/
ATOMIC_SPECIES
Mg 24.30 Mg.upf
Re 186.21 Re.upf
CELL_PARAMETERS angstrom
8.275 0.000 0.000
0.000 8.275 0.000
0.000 0.000 4.596
ATOMIC_POSITIONS angstrom
Mg 0.522 5.495 0.000
Mg 1.023 1.934 2.298
Mg 1.934 7.252 2.298
Mg 2.780 0.522 0.000
Mg 5.495 7.753 0.000
Mg 6.341 1.023 2.298
Mg 7.252 6.341 2.298
Mg 7.753 2.780 0.000
Re 2.350 4.484 2.298
Re 2.462 3.352 0.000
Re 3.352 5.813 0.000
Re 3.791 2.350 2.298
Re 4.484 5.925 2.298
Re 4.924 2.462 0.000
Re 5.813 4.924 0.000
Re 5.925 3.791 2.298

***

! K2SrCa (PBE-GGA, relaxed); values from VASP
! Raw total energy ... -5.53 eV per cell
! Size of the total moment ... 0.000 μB per atom
! Formation energy from the elements ... 0.3 eV/f.u.
! DOS at the Fermi energy ... 4.45 states/eV/cell
&SYSTEM
  ibrav = 0, nat = 4, ntyp = 3
/
ATOMIC_SPECIES
K 39.10 K.upf
Sr 87.62 Sr.upf
Ca 40.08 Ca.upf
CELL_PARAMETERS angstrom
2.336 -3.422 0.000
2.336 3.422 0.000
0.000 0.000 14.362
ATOMIC_POSITIONS angstrom
K 0.000 0.000 0.000
K 2.336 0.000 3.977
Sr 2.336 0.000 10.631
Ca 0.000 0.000 7.484

***

! RbGaTe2 (PBE-GGA, relaxed); values from VASP
! Raw total energy ... -46.98 eV per cell
! Size of the total moment ... 0.000 μB per atom
! E_form (uncorrected) ... -0.37 eV per atom
! DOS at the Fermi energy ... 6.67 states/eV/cell
&SYSTEM
  ibrav = 0, nat = 16, ntyp = 3
/
ATOMIC_SPECIES
Rb 85.47 Rb.upf
Ga 69.72 Ga.upf
Te 127.60 Te.upf
CELL_PARAMETERS angstrom
7.892 0.000 0.000
0.000 3.980 0.000
0.000 0.000 17.788
ATOMIC_POSITIONS angstrom
Rb 1.251 0.995 1.566
Rb 2.695 2.985 10.460
Rb 5.197 0.995 7.328
Rb 6.640 2.985 16.222
Ga 0.971 2.985 5.590
Ga 2.974 0.995 14.484
Ga 4.917 2.985 3.304
Ga 6.920 0.995 12.198
Te 0.824 0.995 7.877
Te 1.045 2.985 13.575
Te 2.901 0.995 4.680
Te 3.121 2.985 16.771
Te 4.770 0.995 1.018
Te 4.990 2.985 13.108
Te 6.847 0.995 4.214
Te 7.067 2.985 9.912

***

! Cu2SnI6 (PBE-GGA, relaxed); values from VASP
! Raw total energy ... -47.21 eV per cell
! Size of the total moment ... 0.000 μB per atom
! E_form (uncorrected) ... -0.23 eV per atom
! Distance to the lowest polymorph of the same formula ... 0.000 eV/atom
! DOS at the Fermi energy ... 0.86 states/eV/cell
&SYSTEM
  ibrav = 0, nat = 18, ntyp = 3
/
ATOMIC_SPECIES
Cu 63.55 Cu.upf
Sn 118.71 Sn.upf
I 126.90 I.upf
CELL_PARAMETERS angstrom
8.029 -7.927 0.000
8.029 7.927 0.000
-2.978 0.000 6.247
ATOMIC_POSITIONS angstrom
Cu 3.799 1.184 0.450
Cu 2.310 -1.184 3.574
Cu 10.771 1.184 2.673
Cu 9.282 -1.184 5.797
Sn 7.285 3.960 1.562
Sn 5.796 -3.960 4.685
I 3.610 5.526 5.599
I 1.918 1.233 4.377
I 5.132 2.386 2.407
I 7.982 5.526 3.771
I 3.407 -1.233 1.253
I 9.438 2.386 0.717
I 3.643 -2.386 5.530
I 9.673 1.233 4.993
I 5.099 -5.526 2.476
I 7.948 -2.386 3.840
I 11.163 -1.233 1.870
I 9.471 -5.526 0.648

***

! BPO4 (PBE-GGA, relaxed); values from VASP
! Raw total energy ... -136.42 eV per cell
! Size of the total moment ... 0.000 μB per atom
! E_form (uncorrected) ... -2.26 eV per atom
! Distance to the lowest polymorph of the same formula ... 0.038 eV/atom
! DOS at the Fermi energy ... 0.00 states/eV/cell
&SYSTEM
  ibrav = 0, nat = 18, ntyp = 3
/
ATOMIC_SPECIES
B 10.81 B.upf
P 30.97 P.upf
O 16.00 O.upf
CELL_PARAMETERS angstrom
4.547 0.000 0.000
-2.274 3.938 0.000
0.000 0.000 10.054
ATOMIC_POSITIONS angstrom
B -1.069 1.852 1.676
B 2.138 0.000 8.378
B 1.205 2.087 5.027
P -1.067 1.848 6.703
P 2.134 0.000 3.351
P 1.207 2.090 0.000
O -1.052 2.856 2.755
O -1.019 2.899 7.829
O 0.273 1.606 1.126
O 0.326 1.599 6.106
O 1.222 1.082 3.948
O 1.255 1.039 8.928
O 0.746 3.371 4.478
O 0.726 3.421 9.458
O 2.999 0.517 7.299
O 3.020 0.567 2.225
O 2.547 2.332 5.576
O 2.600 2.339 0.597

***

! Cs3Hg5Au6 (PBE-GGA, relaxed); values from VASP
! Raw total energy ... -52.03 eV per cell
! Size of the total moment ... 0.000 μB per atom
! Formation energy from the elements ... -2.3 eV/f.u.
! DOS at the Fermi energy ... 4.44 states/eV/cell
&SYSTEM
  ibrav = 0, nat = 28, ntyp = 3
/
ATOMIC_SPECIES
Cs 132.91 Cs.upf
Hg 200.59 Hg.upf
Au 196.97 Au.upf
CELL_PARAMETERS angstrom
5.092 0.000 0.000
0.000 14.890 0.000
0.000 0.000 11.657
ATOMIC_POSITIONS angstrom
Cs 1.273 1.429 2.915
Cs 1.273 6.016 2.915
Cs 1.273 11.168 2.898
Cs 3.819 3.723 8.759
Cs 3.819 8.874 8.741
Cs 3.819 13.461 8.741
Hg 1.273 1.241 7.469
Hg 1.273 6.204 7.469
Hg 1.273 8.888 11.635
Hg 1.273 11.168 6.884
Hg 1.273 13.448 11.635
Hg 3.819 1.443 0.021
Hg 3.819 3.723 4.772
Hg 3.819 6.002 0.021
Hg 3.819 8.686 4.188
Hg 3.819 13.649 4.188
Au 1.273 1.225 10.262
Au 1.273 3.723 6.043
Au 1.273 3.723 11.478
Au 1.273 6.220 10.262
Au 1.273 8.410 5.643
Au 1.273 13.926 5.643
Au 3.819 0.965 6.014
Au 3.819 6.480 6.014
Au 3.819 8.670 1.394
Au 3.819 11.168 0.178
Au 3.819 11.168 5.614
Au 3.819 13.666 1.394

***

! FeTe2Rh (PBE-GGA, relaxed); values from VASP
! Raw total energy ... -21.63 eV per cell
! Size of the total moment ... 0.683 μB per atom
! E_form (uncorrected) ... 0.12 eV per atom
! DOS at the Fermi energy ... 3.82 states/eV/cell
&SYSTEM
  ibrav = 0, nat = 4, ntyp = 3
/
ATOMIC_SPECIES
Fe 55.84 Fe.upf
Te 127.60 Te.upf
Rh 102.91 Rh.upf
CELL_PARAMETERS angstrom
-1.694 2.044 6.577
1.694 -2.044 6.577
1.694 2.044 -6.577
ATOMIC_POSITIONS angstrom
Fe 0.000 0.000 0.000
Te 0.000 0.000 7.398
Te 0.000 2.044 4.202
Rh 1.694 0.000 5.121

***

! GaPd4Au (PBE-GGA, relaxed); values from VASP
! Raw total energy ... -28.85 eV per cell
! Size of the total moment ... 0.000 μB per atom
! Distance to the lowest polymorph of the same formula ... 0.000 eV/atom
! Formation energy from the elements ... -1.8 eV/f.u.
! DOS at the Fermi energy ... 2.35 states/eV/cell
&SYSTEM
  ibrav = 0, nat = 6, ntyp = 3
/
ATOMIC_SPECIES
Ga 69.72 Ga.upf
Pd 106.42 Pd.upf
Au 196.97 Au.upf
CELL_PARAMETERS angstrom
2.122 -5.269 0.000
2.122 5.269 0.000
0.000 0.000 4.221
ATOMIC_POSITIONS angstrom
Ga 0.000 0.000 0.000
Pd 2.122 3.563 2.110
Pd 2.122 1.708 0.000
Pd 2.122 -1.708 0.000
Pd 2.122 -3.563 2.110
Au 2.122 0.000 2.110

***

! Tb2Sc2Tl3 (PBE-GGA, relaxed); values from VASP
! Raw total energy ... -30.27 eV per cell
! Size of the total moment ... 0.037 μB per atom
! Formation energy from the elements ... -1.2 eV/f.u.
! DOS at the Fermi energy ... 7.25 states/eV/cell
&SYSTEM
  ibrav = 0, nat = 7, ntyp = 3
/
ATOMIC_SPECIES
Tb 158.93 Tb.upf
Sc 44.96 Sc.upf
Tl 204.38 Tl.upf
CELL_PARAMETERS angstrom
2.250 -11.990 0.000
2.250 11.990 0.000
0.000 0.000 3.374
ATOMIC_POSITIONS angstrom
Tb 2.250 10.214 0.000
Tb 2.250 -10.214 0.000
Sc 2.250 7.030 0.000
Sc 2.250 -7.030 0.000
Tl 2.250 3.770 1.687
Tl 2.250 0.000 1.687
Tl 2.250 -3.770 1.687

***

! Hf2Tl2As (PBE-GGA, relaxed); values from VASP
! Raw total energy ... -60.93 eV per cell
! Size of the total moment ... 0.000 μB per atom
! Formation energy from the elements ... -1.2 eV/f.u.
! DOS at the Fermi energy ... 5.30 states/eV/cell
&SYSTEM
  ibrav = 0, nat = 10, ntyp = 3
/
ATOMIC_SPECIES
Hf 178.49 Hf.upf
Tl 204.38 Tl.upf
As 74.92 As.upf
CELL_PARAMETERS angstrom
6.994 0.000 0.000
0.000 6.994 0.000
0.000 0.000 4.763
ATOMIC_POSITIONS angstrom
Hf 1.114 2.383 0.000
Hf 2.383 5.880 0.000
Hf 4.611 1.114 0.000
Hf 5.880 4.611 0.000
Tl 1.105 4.602 2.382
Tl 2.392 1.105 2.382
Tl 4.602 5.889 2.382
Tl 5.889 2.392 2.382
As 0.000 0.000 0.000
As 3.497 3.497 0.000

***

! Tb2AgPb3Se6 (PBE-GGA, relaxed); values from VASP
! Raw total energy ... -55.25 eV per cell
! Size of the total moment ... 0.058 μB per atom
! E_form (uncorrected) ... -0.93 eV per atom
! DOS at the Fermi energy ... 4.39 states/eV/cell
&SYSTEM
  ibrav = 0, nat = 12, ntyp = 4
/
ATOMIC_SPECIES
Tb 158.93 Tb.upf
Ag 107.87 Ag.upf
Pb 207.20 Pb.upf
Se 78.96 Se.upf
CELL_PARAMETERS angstrom
9.916 -2.094 0.000
9.916 2.094 0.000
-3.090 0.000 7.933
ATOMIC_POSITIONS angstrom
Tb 2.258 0.000 2.392
Tb 14.484 0.000 5.542
Ag 9.916 0.000 0.000
Pb 0.578 0.000 6.340
Pb 8.371 0.000 3.967
Pb 16.163 0.000 1.593
Se -0.521 0.000 1.850
Se 4.942 0.000 3.574
Se 3.597 0.000 7.296
Se 13.145 0.000 0.637
Se 11.800 0.000 4.359
Se 17.262 0.000 6.083

***

! LiCaW2 (PBE-GGA, relaxed); values from VASP
! Raw total energy ... -25.59 eV per cell
! Size of the total moment ... 0.000 μB per atom
! Distance to the lowest polymorph of the same formula ... 0.541 eV/atom
! Formation energy from the elements ... 4.2 eV/f.u.
! DOS at the Fermi energy ... 5.70 states/eV/cell
&SYSTEM
  ibrav = 0, nat = 4, ntyp = 3
/
ATOMIC_SPECIES
Li 6.94 Li.upf
Ca 40.08 Ca.upf
W 183.84 W.upf
CELL_PARAMETERS angstrom
3.306 0.000 0.000
0.000 3.306 0.000
0.000 0.000 6.928
ATOMIC_POSITIONS angstrom
Li 0.000 0.000 0.000
Ca 0.000 0.000 3.464
W 1.653 1.653 1.164
W 1.653 1.653 5.764

***

Q: What is the DOS at the Fermi energy in the fourth record?
A: 0.86 states/eV/cell

***

Q: What is the size of the total moment in the first record?
A: 0.000 μB per atom

***

Q: Look up the DOS at the Fermi energy of the seventh one.
A: 3.82 states/eV/cell

***

Q: Among the records above, which one has the lowest DOS at the Fermi energy?
A: BPO4